Cr2AsBr: relaxed, PBE.

Values from the calculation:
- total magnetization (μB/atom) = 1.99
- distance to the lowest polymorph of the same formula (meV/atom) = 22
- energy relative to the elements, uncorrected (eV/atom) = 0.013

Cell: 13.912 3.531 3.680 Å, 90.00 100.28 90.00°
Space group Cm (No. 8)
Unique sites:
Cr 0.000 0.000 0.000
Cr 0.180 0.000 0.639
As 0.044 0.500 0.524
Br 0.309 0.500 0.939

***

Cr2AsBr: relaxed, PBE.

Values from the calculation:
- total magnetization (μB/atom) = 2.00
- distance to the lowest polymorph of the same formula (meV/atom) = 163
- energy relative to the elements, uncorrected (eV/atom) = 0.153

Cell: 6.660 6.660 8.517 Å, 90.00 90.00 90.00°
Space group I-42d (No. 122)
Unique sites:
Cr 0.221 0.250 0.125
As 0.000 0.000 0.000
Br 0.000 0.000 0.500

***

CrAs2Br: relaxed, PBE.

Values from the calculation:
- total magnetization (μB/atom) = 0.00
- distance to the lowest polymorph of the same formula (meV/atom) = 1107
- energy relative to the elements, uncorrected (eV/atom) = 0.993

Cell: 6.581 6.581 6.581 Å, 90.00 90.00 90.00°
Space group Fm-3m (No. 225)
Unique sites:
Cr 0.000 0.000 0.000
As 0.250 0.250 0.250
Br 0.000 0.000 0.500

***

CrAs2Br: relaxed, PBE.

Values from the calculation:
- total magnetization (μB/atom) = 0.84
- distance to the lowest polymorph of the same formula (meV/atom) = 80
- energy relative to the elements, uncorrected (eV/atom) = -0.034

Cell: 3.596 3.960 13.806 Å, 90.00 90.00 90.00°
Space group Imm2 (No. 44)
Unique sites:
Cr 0.000 0.000 0.000
As 0.000 0.000 0.467
As 0.000 0.500 0.353
Br 0.000 0.500 0.643

***

CrAs2Br: relaxed, PBE.

Values from the calculation:
- total magnetization (μB/atom) = 0.44
- distance to the lowest polymorph of the same formula (meV/atom) = 485
- energy relative to the elements, uncorrected (eV/atom) = 0.371

Cell: 5.795 5.795 13.094 Å, 90.00 90.00 90.00°
Space group I-42d (No. 122)
Unique sites:
Cr 0.000 0.000 0.000
As 0.134 0.250 0.125
Br 0.000 0.000 0.500

***

Cr2AsBr: relaxed, PBE.

Values from the calculation:
- total magnetization (μB/atom) = 1.99
- distance to the lowest polymorph of the same formula (meV/atom) = 132
- energy relative to the elements, uncorrected (eV/atom) = 0.123

Cell: 3.823 3.823 5.405 Å, 90.00 90.00 90.00°
Space group P4/mmm (No. 123)
Unique sites:
Cr 0.000 0.000 0.000
Cr 0.500 0.500 0.500
As 0.000 0.000 0.500
Br 0.500 0.500 0.000

***

Cr2AsBr: relaxed, PBE.

Values from the calculation:
- total magnetization (μB/atom) = 0.00
- distance to the lowest polymorph of the same formula (meV/atom) = 216
- energy relative to the elements, uncorrected (eV/atom) = 0.207

Cell: 8.453 3.107 7.160 Å, 90.00 123.79 90.00°
Space group C2/m (No. 12)
Unique sites:
Cr 0.214 0.000 0.372
As 0.000 0.000 0.500
Br 0.000 0.500 0.000

***

CrCu2AsBr: relaxed, PBE.

Values from the calculation:
- total magnetization (μB/atom) = 0.97
- energy relative to the elements, uncorrected (eV/atom) = 0.580

Cell: 4.387 4.387 6.848 Å, 90.00 90.00 90.00°
Space group P4/mmm (No. 123)
Unique sites:
Cr 0.000 0.000 0.000
Cu 0.000 0.500 0.500
As 0.500 0.500 0.500
Br 0.500 0.500 0.000